# 1
# Ho8CdHg2, relaxed, DFT PBE
data_Ho8CdHg2
_cell_length_a 8.472
_cell_length_b 8.472
_cell_length_c 5.460
_cell_angle_alpha 100.84
_cell_angle_beta 100.84
_cell_angle_gamma 117.82
_space_group_name_H-M_alt 'P 1'
_space_group_IT_number 1
_space_group_name_Hall 'P 1'
loop_
_atom_site_label
_atom_site_fract_x
_atom_site_fract_y
_atom_site_fract_z
Ho1 0.095 0.327 0.609
Ho2 0.221 0.779 0.000
Ho3 0.327 0.095 0.609
Ho4 0.395 0.395 0.197
Ho5 0.605 0.605 0.803
Ho6 0.673 0.905 0.391
Ho7 0.779 0.221 0.000
Ho8 0.905 0.673 0.391
Cd1 0.000 0.000 0.000
Hg1 0.304 0.696 0.500
Hg2 0.696 0.304 0.500
# Space group ... No. 12
# ΔE_f ... -0.096 eV/atom

# 2
# Ho3Cd7Hg2, relaxed, DFT PBE
data_Ho3Cd7Hg2
_cell_length_a 10.105
_cell_length_b 10.105
_cell_length_c 10.105
_cell_angle_alpha 34.10
_cell_angle_beta 34.10
_cell_angle_gamma 34.10
_space_group_name_H-M_alt 'P 1'
_space_group_IT_number 1
_space_group_name_Hall 'P 1'
loop_
_atom_site_label
_atom_site_fract_x
_atom_site_fract_y
_atom_site_fract_z
Ho1 0.000 0.000 0.000
Ho2 0.141 0.141 0.141
Ho3 0.859 0.859 0.859
Cd1 0.078 0.590 0.590
Cd2 0.410 0.410 0.922
Cd3 0.410 0.922 0.410
Cd4 0.500 0.500 0.500
Cd5 0.590 0.078 0.590
Cd6 0.590 0.590 0.078
Cd7 0.922 0.410 0.410
Hg1 0.335 0.335 0.335
Hg2 0.665 0.665 0.665
# Space group ... No. 166
# ΔE_f ... -0.180 eV/atom

# 3
# Ho7Cd2Hg2, relaxed, DFT PBE
data_Ho7Cd2Hg2
_cell_length_a 6.767
_cell_length_b 6.767
_cell_length_c 7.726
_cell_angle_alpha 90.00
_cell_angle_beta 90.00
_cell_angle_gamma 110.31
_space_group_name_H-M_alt 'P 1'
_space_group_IT_number 1
_space_group_name_Hall 'P 1'
loop_
_atom_site_label
_atom_site_fract_x
_atom_site_fract_y
_atom_site_fract_z
Ho1 0.000 0.000 0.000
Ho2 0.000 0.500 0.285
Ho3 0.000 0.500 0.715
Ho4 0.500 0.000 0.285
Ho5 0.500 0.000 0.715
Ho6 0.500 0.500 0.262
Ho7 0.500 0.500 0.738
Cd1 0.177 0.177 0.500
Cd2 0.823 0.823 0.500
Hg1 0.294 0.706 0.000
Hg2 0.706 0.294 0.000
# Space group ... No. 65
# ΔE_f ... -0.027 eV/atom

# 4
# HoCd3Hg6, relaxed, DFT PBE
data_HoCd3Hg6
_cell_length_a 10.837
_cell_length_b 4.845
_cell_length_c 11.174
_cell_angle_alpha 90.00
_cell_angle_beta 117.80
_cell_angle_gamma 90.00
_space_group_name_H-M_alt 'P 1'
_space_group_IT_number 1
_space_group_name_Hall 'P 1'
loop_
_atom_site_label
_atom_site_fract_x
_atom_site_fract_y
_atom_site_fract_z
Ho1 0.158 0.250 0.000
Ho2 0.842 0.750 0.000
Cd1 0.001 0.750 0.356
Cd2 0.347 0.250 0.345
Cd3 0.487 0.750 0.809
Cd4 0.513 0.250 0.191
Cd5 0.653 0.750 0.655
Cd6 0.999 0.250 0.644
Hg1 0.006 0.750 0.814
Hg2 0.175 0.250 0.509
Hg3 0.181 0.750 0.188
Hg4 0.314 0.250 0.816
Hg5 0.346 0.750 0.509
Hg6 0.355 0.750 0.016
Hg7 0.645 0.250 0.984
Hg8 0.654 0.250 0.491
Hg9 0.686 0.750 0.184
Hg10 0.819 0.250 0.812
Hg11 0.825 0.750 0.491
Hg12 0.994 0.250 0.186
# Space group ... No. 11
# Excess energy over the best structure of this formula in the dataset ... 0.15 eV/f.u.
# ΔE_f ... -0.091 eV/atom

D(E_F) in states/eV per cell, matching the order above: 13.87; 7.92; 12.02; 9.58
Total DFT energy (no corrections) in eV per atom, matching the order above: -3.5630; -1.9084; -3.1614; -1.0044